No. 1
A relaxed structure of La12InSi5. Source: Alexandria, functional PBE.

* N(E_F): 17.246 states/eV per cell
* E_form (uncorrected): -0.50 eV per atom
* calculated density: 5.8 g/cm³
* total DFT energy (no corrections): -5.4425 eV/atom

Unit cell a=8.9422 b=8.9422 c=8.9422 alpha=105.84 beta=112.44 gamma=110.21
Sites, in units of the cell vectors:
La 0.9126 0.1797 0.7330
La 0.1995 0.9678 0.7684
La 0.5533 0.8203 0.7330
La 0.4467 0.1797 0.2670
La 0.8005 0.0322 0.2316
La 0.7066 0.3191 0.0257
La 0.2934 0.6809 0.9743
La 0.7066 0.6809 0.3874
La 0.1995 0.4311 0.2316
La 0.0874 0.8203 0.2670
La 0.8005 0.5689 0.7684
La 0.2934 0.3191 0.6126
Si 0.3797 0.3797 0.0000
Si 0.6203 0.6203 0.0000
Si 0.5000 0.8890 0.3890
Si 0.0000 0.0000 0.0000
Si 0.5000 0.1110 0.6110
In 0.0000 0.5000 0.5000



No. 2
A relaxed structure of LaIn2Si. Source: Alexandria, functional PBE.

* N(E_F): 2.003 states/eV per cell
* E_form (uncorrected): -0.36 eV per atom
* calculated density: 6.6 g/cm³
* total DFT energy (no corrections): -4.3119 eV/atom

Unit cell a=4.4675 b=4.4675 c=4.9783 alpha=90.00 beta=90.00 gamma=90.00
Sites, in units of the cell vectors:
In 0.0000 0.0000 0.0000
In 0.5000 0.5000 0.0000
La 0.5000 0.0000 0.5000
Si 0.0000 0.5000 0.5000



No. 3
A relaxed structure of LaInSi. Source: Alexandria, functional PBE.

* N(E_F): 4.012 states/eV per cell
* E_form (uncorrected): -0.50 eV per atom
* calculated density: 5.7 g/cm³
* total DFT energy (no corrections): -4.8580 eV/atom

Unit cell a=3.8524 b=4.4129 c=9.8502 alpha=77.06 beta=90.00 gamma=90.00
Sites, in units of the cell vectors:
Si 0.7500 0.4628 0.0744
Si 0.2500 0.5372 0.9256
La 0.7500 0.0905 0.8189
La 0.2500 0.9095 0.1811
In 0.7500 0.7279 0.5442
In 0.2500 0.2721 0.4558



No. 4
A relaxed structure of LaInSi. Source: Alexandria, functional PBE.

* N(E_F): 1.106 states/eV per cell
* E_form (uncorrected): 0.06 eV per atom
* calculated density: 5.0 g/cm³
* total DFT energy (no corrections): -4.3066 eV/atom

Unit cell a=5.0800 b=5.0800 c=5.0800 alpha=60.00 beta=60.00 gamma=60.00
Sites, in units of the cell vectors:
In 0.5000 0.5000 0.5000
Si 0.0000 0.0000 0.0000
La 0.7500 0.7500 0.7500



No. 5
A relaxed structure of LaIn3Si. Source: Alexandria, functional PBE.

* N(E_F): 2.694 states/eV per cell
* E_form (uncorrected): 0.11 eV per atom
* calculated density: 5.9 g/cm³
* total DFT energy (no corrections): -3.5984 eV/atom
* energy relative to the lowest polymorph listed for this composition: 0.000 eV/atom

Unit cell a=5.2462 b=5.2462 c=5.2462 alpha=90.00 beta=90.00 gamma=90.00
Sites, in units of the cell vectors:
In 0.0000 0.5000 0.0000
In 0.5000 0.0000 0.0000
In 0.0000 0.0000 0.5000
La 0.5000 0.5000 0.5000
Si 0.0000 0.0000 0.0000



No. 6
A relaxed structure of La2In2Si. Source: Alexandria, functional PBE.

* N(E_F): 3.516 states/eV per cell
* E_form (uncorrected): -0.34 eV per atom
* calculated density: 6.3 g/cm³
* total DFT energy (no corrections): -4.4958 eV/atom

Unit cell a=7.5284 b=7.5284 c=5.0045 alpha=90.00 beta=90.00 gamma=90.00
Sites, in units of the cell vectors:
La 0.3303 0.1697 0.5000
La 0.6697 0.8303 0.5000
La 0.1697 0.6697 0.5000
La 0.8303 0.3303 0.5000
In 0.1373 0.3627 0.0000
In 0.8627 0.6373 0.0000
In 0.3627 0.8627 0.0000
In 0.6373 0.1373 0.0000
Si 0.5000 0.5000 0.0000
Si 0.0000 0.0000 0.0000